1.
The following is a GGA-PBE calculation of crystalline RbSrV2Cl8 at its relaxed geometry, from Alexandria.

a b c (Å): 6.7778 6.7778 9.9733
angles (deg): 90.00 90.00 120.00
Space group P-3 (No. 147)
Symmetry-distinct sites (fractional):
Rb  0.0000  0.0000  0.0000 [1 per cell]
Sr  0.0000  0.0000  0.5000 [1 per cell]
V  0.3333  0.6667  0.7519 [2 per cell]
Cl  0.0088  0.3339  0.6871 [6 per cell]
Cl  0.3333  0.6667  0.9771 [2 per cell]

Computed properties:
E_form (uncorrected): -1.518 eV per atom
ρ: 2.34 g/cm3
Volume: 33.07 Å³/atom
Total magnetic moment: 5.00 μB/cell

***

2.
The following is a GGA-PBE calculation of crystalline Rb2SrWCl6 at its relaxed geometry, from Alexandria.

a b c (Å): 10.614 10.614 10.614
angles (deg): 90.00 90.00 90.00
Space group Fm-3m (No. 225)
Symmetry-distinct sites (fractional):
Rb  0.250  0.250  0.250 [8 per cell]
Sr  0.000  0.000  0.000 [4 per cell]
W  0.000  0.000  0.500 [4 per cell]
Cl  0.000  0.000  0.267 [24 per cell]

Computed properties:
E_form (uncorrected): -1.419 eV per atom
ρ: 3.64 g/cm3
Volume: 29.89 Å³/atom
Total magnetic moment: 8.00 μB/cell

***

3.
The following is a GGA-PBE calculation of crystalline Rb2SrYCl6 at its relaxed geometry, from Alexandria.

a b c (Å): 11.124 11.124 11.124
angles (deg): 90.00 90.00 90.00
Space group Fm-3m (No. 225)
Symmetry-distinct sites (fractional):
Rb  0.250  0.250  0.250 [8 per cell]
Sr  0.000  0.000  0.000 [4 per cell]
Y  0.000  0.000  0.500 [4 per cell]
Cl  0.000  0.000  0.258 [24 per cell]

Computed properties:
E_form (uncorrected): -2.040 eV per atom
ρ: 2.70 g/cm3
Volume: 34.41 Å³/atom
Total magnetic moment: 3.23 μB/cell

***

4.
The following is a GGA-PBE calculation of crystalline Rb2SrZnCl6 at its relaxed geometry, from Alexandria.

a b c (Å): 7.5644 7.5644 18.0936
angles (deg): 90.00 90.00 120.00
Space group R-3 (No. 148, hexagonal axes)
Symmetry-distinct sites (fractional):
Rb  0.0000  0.0000  0.2451 [6 per cell]
Sr  0.0000  0.0000  0.5000 [3 per cell]
Zn  0.0000  0.0000  0.0000 [3 per cell]
Cl  0.0258  0.5688  0.7454 [18 per cell]

Computed properties:
E_form (uncorrected): -1.840 eV per atom
ρ: 2.98 g/cm3
Volume: 29.89 Å³/atom
Total magnetic moment: 0.00 μB/cell

***

5.
The following is a GGA-PBE calculation of crystalline RbTaCl6 at its relaxed geometry, from Alexandria.

a b c (Å): 12.368 6.690 12.442
angles (deg): 90.00 101.78 90.00
Space group C2/c (No. 15)
Symmetry-distinct sites (fractional):
Rb  0.000  0.089  0.250 [4 per cell]
Ta  0.250  0.250  0.000 [4 per cell]
Cl  0.085  0.387  0.895 [8 per cell]
Cl  0.151  0.042  0.530 [8 per cell]
Cl  0.210  0.397  0.161 [8 per cell]

Computed properties:
E_form (uncorrected): -1.551 eV per atom
ρ: 3.16 g/cm3
Volume: 31.49 Å³/atom
Offset from the most stable computed form: 0 meV/atom
Total magnetic moment: 0.00 μB/cell

***

6.
The following is a GGA-PBE calculation of crystalline RbTa3Cl at its relaxed geometry, from Alexandria.

a b c (Å): 4.941 4.941 4.941
angles (deg): 90.00 90.00 90.00
Space group Pm-3m (No. 221)
Symmetry-distinct sites (fractional):
Rb  0.000  0.000  0.000 [1 per cell]
Ta  0.000  0.000  0.500 [3 per cell]
Cl  0.500  0.500  0.500 [1 per cell]

Computed properties:
E_form (uncorrected): 3.423 eV per atom
ρ: 9.14 g/cm3
Volume: 24.12 Å³/atom
Offset from the most stable computed form: 1771 meV/atom
Total magnetic moment: 0.00 μB/cell